No. 1
VASP calculation (PBE) on a relaxed structure of Ni9Sn2Ge.

Unit cell a=3.690 b=3.690 c=11.005 alpha=90.00 beta=90.00 gamma=90.00
Space group P4/mmm (No. 123)
Symmetry-distinct sites (fractional):
Ni  0.000  0.000  0.000 (multiplicity 1)
Ni  0.000  0.000  0.328 (multiplicity 2)
Ni  0.000  0.500  0.155 (multiplicity 4)
Ni  0.000  0.500  0.500 (multiplicity 2)
Sn  0.500  0.500  0.329 (multiplicity 2)
Ge  0.500  0.500  0.000 (multiplicity 1)

N(E_F) (states/eV/cell): 9.00
Magnetic moment (μB per cell): 0.0
E_form (eV/atom): -0.213
E (Ha/atom): -0.20584

---

No. 2
VASP calculation (PBE) on a relaxed structure of BaRh2W.

Unit cell a=3.489 b=5.854 c=9.209 alpha=90.00 beta=90.00 gamma=90.00
Space group Immm (No. 71)
Symmetry-distinct sites (fractional):
Ba  0.000  0.000  0.000 (multiplicity 2)
Rh  0.000  0.500  0.186 (multiplicity 4)
W  0.000  0.000  0.500 (multiplicity 2)

N(E_F) (states/eV/cell): 6.21
Magnetic moment (μB per cell): 0.0
E_form (eV/atom): 0.583
E (Ha/atom): -0.25031
Energy above the most stable polymorph in this dataset (eV per atom): 0.465

---

No. 3
VASP calculation (PBE) on a relaxed structure of K2UBr6.

Unit cell a=7.388 b=7.388 c=14.217 alpha=90.00 beta=90.00 gamma=90.00
Space group P4_2/mnm (No. 136)
Symmetry-distinct sites (fractional):
K  0.000  0.000  0.166 (multiplicity 4)
U  0.000  0.000  0.500 (multiplicity 2)
Br  0.184  0.184  0.358 (multiplicity 8)
Br  0.232  0.232  0.000 (multiplicity 4)

Raw formation energy (meV per atom): -1531
N(E_F) (states/eV/cell): 9.77
Magnetic moment (μB per cell): 4.0
E (Ha/atom): -0.15231

---

No. 4
VASP calculation (PBE) on a relaxed structure of Dy5Tm2Sc4.

Unit cell a=8.680 b=3.486 c=10.707 alpha=90.00 beta=94.40 gamma=90.00
Space group P2/m (No. 10)
Symmetry-distinct sites (fractional):
Dy  0.000  0.000  0.000 (multiplicity 1)
Dy  0.049  0.000  0.335 (multiplicity 2)
Dy  0.354  0.000  0.867 (multiplicity 2)
Tm  0.425  0.000  0.364 (multiplicity 2)
Sc  0.255  0.500  0.575 (multiplicity 2)
Sc  0.298  0.500  0.131 (multiplicity 2)

N(E_F) (states/eV/cell): 16.08
Magnetic moment (μB per cell): 0.0
E_form (eV/atom): 0.100
E (Ha/atom): -0.18768
Energy above the most stable polymorph in this dataset (eV per atom): 0.000